(1)
{
  "formula": "La6Tl2C",
  "functional": "PBE-GGA",
  "state": "relaxed",
  "lattice_angstrom": [[-1.702, -4.773, -5.270], [2.918, -5.411, 3.958], [-9.182, -1.673, 4.481]],
  "species": ["La", "La", "La", "La", "La", "La", "La", "La", "La", "La", "La", "La", "Tl", "Tl", "Tl", "Tl", "C", "C"],
  "frac_coords": [[0.000, 0.000, 0.257], [0.756, 0.756, 0.500], [0.744, 0.744, 0.000], [0.756, 0.244, 0.500], [0.744, 0.256, 0.000], [0.500, 0.500, 0.243], [0.000, 0.000, 0.743], [0.244, 0.244, 0.500], [0.256, 0.256, 0.000], [0.244, 0.756, 0.500], [0.256, 0.744, 0.000], [0.500, 0.500, 0.757], [0.000, 0.500, 0.750], [0.500, 0.000, 0.750], [0.500, 0.000, 0.250], [0.000, 0.500, 0.250], [0.500, 0.500, 0.000], [0.000, 0.000, 0.500]],
  "dos_at_fermi_per_ev_cell": 12.45,
  "sg": "I4/mmm"
}


(2)
{
  "formula": "LaTm2TlC",
  "functional": "PBE-GGA",
  "state": "relaxed",
  "lattice_angstrom": [[5.188, 0.000, 0.000], [0.000, 4.897, 0.000], [0.000, 0.000, 4.897]],
  "species": ["La", "Tm", "Tm", "Tl", "C"],
  "frac_coords": [[0.500, 0.000, 0.000], [0.000, 0.000, 0.500], [0.000, 0.500, 0.000], [0.500, 0.500, 0.500], [0.000, 0.000, 0.000]],
  "dos_at_fermi_per_ev_cell": 2.08,
  "sg": "P4/mmm"
}


(3)
{
  "formula": "La2TmTlC",
  "functional": "PBE-GGA",
  "state": "relaxed",
  "lattice_angstrom": [[-3.521, -3.319, 0.653], [2.001, -2.891, -3.903], [3.039, -2.547, 3.445]],
  "species": ["La", "La", "Tm", "Tl", "C"],
  "frac_coords": [[0.000, 0.000, 0.500], [0.000, 0.500, 0.000], [0.500, 0.000, 0.000], [0.500, 0.500, 0.500], [0.000, 0.000, 0.000]],
  "dos_at_fermi_per_ev_cell": 2.89,
  "sg": "P4/mmm"
}


(4)
{
  "formula": "La2TlVC",
  "functional": "PBE-GGA",
  "state": "relaxed",
  "lattice_angstrom": [[-1.940, 3.342, 3.824], [-4.894, -0.138, -2.363], [-1.017, -3.216, 2.294]],
  "species": ["Tl", "V", "C", "La", "La"],
  "frac_coords": [[0.500, 0.500, 0.500], [0.000, 0.000, 0.500], [0.000, 0.000, 0.000], [0.000, 0.500, 0.000], [0.500, 0.000, 0.000]],
  "dos_at_fermi_per_ev_cell": 2.50,
  "sg": "P4/mmm"
}


(5)
{
  "formula": "LaTlZn2C",
  "functional": "PBE-GGA",
  "state": "relaxed",
  "lattice_angstrom": [[4.527, 0.000, 0.000], [0.000, 5.054, 0.000], [0.000, 0.000, 4.527]],
  "species": ["C", "Tl", "Zn", "Zn", "La"],
  "frac_coords": [[0.000, 0.000, 0.000], [0.500, 0.500, 0.500], [0.000, 0.000, 0.500], [0.500, 0.000, 0.000], [0.000, 0.500, 0.000]],
  "dos_at_fermi_per_ev_cell": 3.26,
  "sg": "P4/mmm"
}


(6)
{
  "formula": "LaTm3C",
  "functional": "PBE-GGA",
  "state": "relaxed",
  "lattice_angstrom": [[-4.091, 1.654, 2.365], [-2.149, -4.484, -0.583], [1.926, -1.491, 4.374]],
  "species": ["C", "Tm", "Tm", "Tm", "La"],
  "frac_coords": [[0.000, 0.000, 0.000], [0.000, 0.500, 0.000], [0.000, 0.000, 0.500], [0.500, 0.000, 0.000], [0.500, 0.500, 0.500]],
  "dos_at_fermi_per_ev_cell": 5.22,
  "sg": "Pm-3m"
}


(7)
{
  "formula": "La2Tm4C",
  "functional": "PBE-GGA",
  "state": "relaxed",
  "lattice_angstrom": [[4.808, 0.000, 0.000], [0.000, 4.808, 0.000], [2.404, 2.404, 9.169]],
  "species": ["C", "Tm", "Tm", "Tm", "Tm", "La", "La"],
  "frac_coords": [[0.000, 0.000, 0.000], [0.871, 0.871, 0.257], [0.129, 0.129, 0.743], [0.000, 0.500, 0.000], [0.500, 0.000, 0.000], [0.680, 0.680, 0.640], [0.320, 0.320, 0.360]],
  "dos_at_fermi_per_ev_cell": 13.37,
  "sg": "I4/mmm"
}


(8)
{
  "formula": "La2TmC",
  "functional": "PBE-GGA",
  "state": "relaxed",
  "lattice_angstrom": [[-0.506, -2.933, 2.096], [-1.924, -2.824, -1.254], [7.615, -6.015, -3.419]],
  "species": ["C", "Tm", "La", "La"],
  "frac_coords": [[0.500, 0.500, 0.500], [0.000, 0.000, 0.000], [0.118, 0.118, 0.646], [0.882, 0.882, 0.354]],
  "dos_at_fermi_per_ev_cell": 4.66,
  "sg": "R-3m"
}


(9)
{
  "formula": "La2U2C3",
  "functional": "PBE-GGA",
  "state": "relaxed",
  "lattice_angstrom": [[-1.861, 2.552, 1.553], [-3.088, -4.921, 4.387], [5.013, 0.016, 1.992]],
  "species": ["La", "La", "U", "U", "C", "C", "C"],
  "frac_coords": [[0.111, 0.365, 0.222], [0.889, 0.635, 0.778], [0.348, 0.052, 0.695], [0.652, 0.948, 0.305], [0.000, 0.000, 0.000], [0.223, 0.743, 0.446], [0.777, 0.257, 0.554]],
  "dos_at_fermi_per_ev_cell": 8.80,
  "sg": "C2/m"
}


(10)
{
  "formula": "LaU3C8",
  "functional": "PBE-GGA",
  "state": "relaxed",
  "lattice_angstrom": [[3.957, -3.927, 0.077], [3.957, 3.927, 0.077], [-0.045, 0.000, 5.575]],
  "species": ["La", "U", "U", "U", "C", "C", "C", "C", "C", "C", "C", "C"],
  "frac_coords": [[0.000, 0.000, 0.000], [0.500, 0.500, 0.000], [0.500, 0.000, 0.500], [0.000, 0.500, 0.500], [0.119, 0.978, 0.501], [0.978, 0.501, 0.119], [0.501, 0.119, 0.978], [0.569, 0.569, 0.569], [0.881, 0.022, 0.499], [0.022, 0.499, 0.881], [0.499, 0.881, 0.022], [0.431, 0.431, 0.431]],
  "dos_at_fermi_per_ev_cell": 14.19,
  "sg": "R-3"
}


(11)
{
  "formula": "LaU2C2",
  "functional": "PBE-GGA",
  "state": "relaxed",
  "lattice_angstrom": [[-0.463, 0.479, 3.734], [0.199, -3.754, 0.506], [6.281, 2.060, -1.412]],
  "species": ["La", "U", "U", "C", "C"],
  "frac_coords": [[0.000, 0.000, 0.000], [0.750, 0.250, 0.500], [0.250, 0.750, 0.500], [0.626, 0.626, 0.253], [0.374, 0.374, 0.747]],
  "dos_at_fermi_per_ev_cell": 6.11,
  "sg": "I4/mmm"
}


(12)
{
  "formula": "LaV2C2",
  "functional": "PBE-GGA",
  "state": "relaxed",
  "lattice_angstrom": [[3.990, 0.000, 0.000], [0.000, 3.990, 0.000], [1.995, 1.995, 4.836]],
  "species": ["C", "C", "La", "V", "V"],
  "frac_coords": [[0.750, 0.250, 0.500], [0.250, 0.750, 0.500], [0.000, 0.000, 0.000], [0.279, 0.279, 0.441], [0.721, 0.721, 0.559]],
  "dos_at_fermi_per_ev_cell": 2.91,
  "sg": "I4/mmm"
}


(13)
{
  "formula": "LaVC2",
  "functional": "PBE-GGA",
  "state": "relaxed",
  "lattice_angstrom": [[1.895, -3.519, -1.429], [-1.777, -3.793, 0.682], [-1.698, -2.161, -3.235]],
  "species": ["C", "C", "La", "V"],
  "frac_coords": [[0.250, 0.250, 0.250], [0.750, 0.750, 0.750], [0.500, 0.500, 0.500], [0.000, 0.000, 0.000]],
  "dos_at_fermi_per_ev_cell": 3.67,
  "sg": "Fm-3m"
}


(14)
{
  "formula": "LaVC2",
  "functional": "PBE-GGA",
  "state": "relaxed",
  "lattice_angstrom": [[-1.433, 2.677, 1.157], [0.039, 0.614, 3.191], [4.507, 4.029, 0.824]],
  "species": ["C", "C", "V", "La"],
  "frac_coords": [[0.273, 0.273, 0.182], [0.727, 0.727, 0.818], [0.000, 0.000, 0.000], [0.500, 0.500, 0.500]],
  "dos_at_fermi_per_ev_cell": 1.57,
  "sg": "R-3m"
}


(15)
{
  "formula": "LaVC2",
  "functional": "PBE-GGA",
  "state": "relaxed",
  "lattice_angstrom": [[-5.568, -0.303, 1.222], [-0.964, -2.536, -5.023], [-2.726, -4.826, -0.284]],
  "species": ["C", "C", "C", "C", "La", "La", "V", "V"],
  "frac_coords": [[0.530, 0.125, 0.250], [0.220, 0.625, 0.250], [0.375, 0.470, 0.750], [0.875, 0.780, 0.750], [0.000, 0.000, 0.000], [0.750, 0.250, 0.500], [0.500, 0.500, 0.000], [0.250, 0.750, 0.500]],
  "sg": "I-42d"
}


(16)
{
  "formula": "La2VZnC",
  "functional": "PBE-GGA",
  "state": "relaxed",
  "lattice_angstrom": [[5.348, 0.000, 0.000], [0.000, 5.348, 0.000], [0.000, 0.000, 3.997]],
  "species": ["Zn", "V", "C", "La", "La"],
  "frac_coords": [[0.500, 0.500, 0.500], [0.000, 0.000, 0.500], [0.000, 0.000, 0.000], [0.000, 0.500, 0.000], [0.500, 0.000, 0.000]],
  "dos_at_fermi_per_ev_cell": 3.42,
  "sg": "P4/mmm"
}


(17)
{
  "formula": "La2VZnC",
  "functional": "PBE-GGA",
  "state": "relaxed",
  "lattice_angstrom": [[-4.500, 1.450, -2.096], [1.173, -2.124, -3.987], [-2.193, -4.371, 1.683]],
  "species": ["Zn", "V", "C", "La", "La"],
  "frac_coords": [[0.000, 0.500, 0.000], [0.000, 0.000, 0.000], [0.500, 0.500, 0.500], [0.000, 0.000, 0.500], [0.500, 0.000, 0.000]],
  "dos_at_fermi_per_ev_cell": 4.98,
  "sg": "P4/mmm"
}


(18)
{
  "formula": "La2WC3",
  "functional": "PBE-GGA",
  "state": "relaxed",
  "lattice_angstrom": [[-2.501, 5.330, 0.867], [-3.018, -5.153, 2.546], [6.724, 1.399, 10.801]],
  "species": ["La", "La", "La", "La", "La", "La", "La", "La", "W", "W", "W", "W", "C", "C", "C", "C", "C", "C", "C", "C", "C", "C", "C", "C"],
  "frac_coords": [[0.547, 0.093, 0.647], [0.638, 0.276, 0.078], [0.047, 0.093, 0.853], [0.862, 0.724, 0.578], [0.953, 0.907, 0.147], [0.453, 0.907, 0.353], [0.138, 0.276, 0.422], [0.362, 0.724, 0.922], [0.751, 0.501, 0.838], [0.749, 0.499, 0.338], [0.251, 0.501, 0.662], [0.249, 0.499, 0.162], [0.555, 0.610, 0.750], [0.945, 0.390, 0.250], [0.582, 0.163, 0.868], [0.844, 0.689, 0.965], [0.156, 0.311, 0.035], [0.918, 0.837, 0.368], [0.656, 0.311, 0.465], [0.344, 0.689, 0.535], [0.082, 0.163, 0.632], [0.418, 0.837, 0.132], [0.055, 0.610, 0.750], [0.445, 0.390, 0.250]],
  "dos_at_fermi_per_ev_cell": 0.84,
  "sg": "Cmce"
}


(19)
{
  "formula": "LaWC3",
  "functional": "PBE-GGA",
  "state": "relaxed",
  "lattice_angstrom": [[4.192, 0.000, 0.000], [0.000, 4.192, 0.000], [0.000, 0.000, 4.192]],
  "species": ["C", "C", "C", "W", "La"],
  "frac_coords": [[0.000, 0.500, 0.000], [0.000, 0.000, 0.500], [0.500, 0.000, 0.000], [0.500, 0.500, 0.500], [0.000, 0.000, 0.000]],
  "dos_at_fermi_per_ev_cell": 3.16,
  "sg": "Pm-3m"
}


(20)
{
  "formula": "LaWC",
  "functional": "PBE-GGA",
  "state": "relaxed",
  "lattice_angstrom": [[3.622, 0.000, 0.000], [0.000, 3.622, 0.000], [0.000, 0.000, 9.321]],
  "species": ["C", "C", "La", "La", "W", "W"],
  "frac_coords": [[0.500, 0.000, 0.654], [0.000, 0.500, 0.346], [0.500, 0.000, 0.202], [0.000, 0.500, 0.798], [0.500, 0.500, 0.500], [0.000, 0.000, 0.500]],
  "dos_at_fermi_per_ev_cell": 4.17,
  "sg": "P4/nmm"
}


| no. | DFT formation energy (eV per atom) |
| --- | --- |
| 1 | -0.295 |
| 2 | -0.382 |
| 3 | -0.327 |
| 4 | -0.175 |
| 5 | 0.294 |
| 6 | -0.028 |
| 7 | 0.087 |
| 8 | 0.081 |
| 9 | 0.009 |
| 10 | 0.143 |
| 11 | 0.180 |
| 12 | -0.055 |
| 13 | 0.965 |
| 14 | 0.146 |
| 15 | 0.011 |
| 16 | -0.108 |
| 17 | 1.312 |
| 18 | -0.133 |
| 19 | 3.309 |
| 20 | 0.190 |